Record 1
# RbCr2GeI | Alexandria via LeMat-Bulk | PBE | optimized geometry
# magnetization = 8.0 μB/f.u.
# D(E_F) = 0.1015 states/eV per atom
data_RbCr2GeI
_chemical_formula_sum 'Rb1 Cr2 Ge1 I1'
_cell_length_a 4.934
_cell_length_b 4.934
_cell_length_c 7.076
_cell_angle_alpha 90.00
_cell_angle_beta 90.00
_cell_angle_gamma 90.00
_space_group_name_H-M_alt 'P 4/m m m'
_space_group_IT_number 123
_space_group_name_Hall '-P 4 2'
loop_
_atom_site_label
_atom_site_type_symbol
_atom_site_fract_x
_atom_site_fract_y
_atom_site_fract_z
_atom_site_occupancy
Rb1 Rb 0.000 0.000 0.000 1
Cr1 Cr 0.000 0.500 0.500 1
Ge1 Ge 0.000 0.000 0.500 1
I1 I 0.500 0.500 0.000 1

---

Record 2
# Rb2CrGeI6 | Alexandria via LeMat-Bulk | PBE | optimized geometry
# magnetization = 4.0 μB/f.u.
# D(E_F) = 0.2819 states/eV per atom
data_Rb2CrGeI6
_chemical_formula_sum 'Rb4 Cr2 Ge2 I12'
_cell_length_a 8.265
_cell_length_b 8.265
_cell_length_c 11.706
_cell_angle_alpha 90.00
_cell_angle_beta 90.00
_cell_angle_gamma 90.00
_space_group_name_H-M_alt 'I 4/m m m'
_space_group_IT_number 139
_space_group_name_Hall '-I 4 2'
loop_
_atom_site_label
_atom_site_type_symbol
_atom_site_fract_x
_atom_site_fract_y
_atom_site_fract_z
_atom_site_occupancy
Rb1 Rb 0.000 0.500 0.250 1
Cr1 Cr 0.000 0.000 0.000 1
Ge1 Ge 0.000 0.000 0.500 1
I1 I 0.000 0.000 0.244 1
I2 I 0.244 0.244 0.000 1

---

Here are the calculated electronic total energy numbers, same order: -4.921 -3.287 (eV per atom).